NaBiBIr: optimized geometry, GGA-PBE.

Values from the calculation:
The value obtained for the energy above the most stable polymorph in this dataset is 0 meV/atom.

```
data_NaBiBIr
_cell_length_a 6.428
_cell_length_b 6.428
_cell_length_c 6.428
_cell_angle_alpha 90.00
_cell_angle_beta 90.00
_cell_angle_gamma 90.00
_symmetry_space_group_name_H-M 'F -4 3 m'
_symmetry_Int_Tables_number 216
_symmetry_space_group_name_Hall 'F -4 2 3'
loop_
_atom_site_label
_atom_site_fract_x
_atom_site_fract_y
_atom_site_fract_z
Na1 0.000 0.000 0.000
Bi1 0.250 0.250 0.250
B1 0.250 0.250 0.750
Ir1 0.000 0.000 0.500
```

DyCoSi2Pd: optimized geometry, GGA-PBE.

```
data_DyCoSi2Pd
_cell_length_a 4.034
_cell_length_b 4.034
_cell_length_c 9.862
_cell_angle_alpha 90.00
_cell_angle_beta 90.00
_cell_angle_gamma 90.00
_symmetry_space_group_name_H-M 'I -4 m 2'
_symmetry_Int_Tables_number 119
_symmetry_space_group_name_Hall 'I -4 -2'
loop_
_atom_site_label
_atom_site_fract_x
_atom_site_fract_y
_atom_site_fract_z
Dy1 0.000 0.000 0.000
Co1 0.000 0.500 0.750
Si1 0.000 0.000 0.379
Pd1 0.000 0.500 0.250
```

SrLiErS3: optimized geometry, GGA-PBE.

Values from the calculation:
The value obtained for the energy above the most stable polymorph in this dataset is 21 meV/atom.

```
data_SrLiErS3
_cell_length_a 3.981
_cell_length_b 13.000
_cell_length_c 10.166
_cell_angle_alpha 90.00
_cell_angle_beta 90.00
_cell_angle_gamma 90.00
_symmetry_space_group_name_H-M 'C m c m'
_symmetry_Int_Tables_number 63
_symmetry_space_group_name_Hall '-C 2c 2'
loop_
_atom_site_label
_atom_site_fract_x
_atom_site_fract_y
_atom_site_fract_z
Sr1 0.000 0.248 0.250
Li1 0.000 0.025 0.750
Er1 0.000 0.500 0.000
S1 0.000 0.134 0.565
S2 0.000 0.424 0.750
```

NaGdNO: optimized geometry, GGA-PBE.

Values from the calculation:
The value obtained for the energy above the most stable polymorph in this dataset is 29 meV/atom.

```
data_NaGdNO
_cell_length_a 3.489
_cell_length_b 3.489
_cell_length_c 4.643
_cell_angle_alpha 90.00
_cell_angle_beta 90.00
_cell_angle_gamma 90.00
_symmetry_space_group_name_H-M 'P 4/m m m'
_symmetry_Int_Tables_number 123
_symmetry_space_group_name_Hall '-P 4 2'
loop_
_atom_site_label
_atom_site_fract_x
_atom_site_fract_y
_atom_site_fract_z
Na1 0.000 0.000 0.000
Gd1 0.500 0.500 0.500
N1 0.000 0.000 0.500
O1 0.500 0.500 0.000
```

LuCuGePt: optimized geometry, GGA-PBE.

Values from the calculation:
The value obtained for the energy above the most stable polymorph in this dataset is 0 meV/atom.

```
data_LuCuGePt
_cell_length_a 6.485
_cell_length_b 6.485
_cell_length_c 6.485
_cell_angle_alpha 90.00
_cell_angle_beta 90.00
_cell_angle_gamma 90.00
_symmetry_space_group_name_H-M 'F -4 3 m'
_symmetry_Int_Tables_number 216
_symmetry_space_group_name_Hall 'F -4 2 3'
loop_
_atom_site_label
_atom_site_fract_x
_atom_site_fract_y
_atom_site_fract_z
Lu1 0.000 0.000 0.000
Cu1 0.250 0.250 0.250
Ge1 0.000 0.000 0.500
Pt1 0.250 0.250 0.750
```

AlNiPb: optimized geometry, GGA-PBE.

```
data_AlNiPb
_cell_length_a 6.307
_cell_length_b 6.307
_cell_length_c 6.307
_cell_angle_alpha 90.00
_cell_angle_beta 90.00
_cell_angle_gamma 90.00
_symmetry_space_group_name_H-M 'F -4 3 m'
_symmetry_Int_Tables_number 216
_symmetry_space_group_name_Hall 'F -4 2 3'
loop_
_atom_site_label
_atom_site_fract_x
_atom_site_fract_y
_atom_site_fract_z
Al1 0.000 0.000 0.000
Ni1 0.000 0.000 0.500
Pb1 0.250 0.250 0.250
```

MoPBr9: optimized geometry, GGA-PBE.

```
data_MoPBr9
_cell_length_a 7.980
_cell_length_b 10.256
_cell_length_c 10.305
_cell_angle_alpha 102.12
_cell_angle_beta 90.10
_cell_angle_gamma 97.18
_symmetry_space_group_name_H-M 'P -1'
_symmetry_Int_Tables_number 2
_symmetry_space_group_name_Hall '-P 1'
loop_
_atom_site_label
_atom_site_fract_x
_atom_site_fract_y
_atom_site_fract_z
Mo1 0.107 0.146 0.146
P1 0.438 0.712 0.321
Br1 0.002 0.660 0.695
Br2 0.038 0.999 0.305
Br3 0.146 0.295 0.975
Br4 0.195 0.941 0.969
Br5 0.256 0.718 0.483
Br6 0.327 0.345 0.610
Br7 0.329 0.557 0.151
Br8 0.409 0.209 0.219
Br9 0.491 0.911 0.272
```

ErTlBi: optimized geometry, GGA-PBE.

```
data_ErTlBi
_cell_length_a 7.352
_cell_length_b 7.352
_cell_length_c 7.352
_cell_angle_alpha 90.00
_cell_angle_beta 90.00
_cell_angle_gamma 90.00
_symmetry_space_group_name_H-M 'F -4 3 m'
_symmetry_Int_Tables_number 216
_symmetry_space_group_name_Hall 'F -4 2 3'
loop_
_atom_site_label
_atom_site_fract_x
_atom_site_fract_y
_atom_site_fract_z
Er1 0.000 0.000 0.000
Tl1 0.250 0.250 0.750
Bi1 0.000 0.000 0.500
```

Energy per entry: -17.650; -31.877; -32.126; -24.617; -21.311; -11.556; -35.469; -10.995 eV/f.u.
Total moment per entry: 0.0; 1.0; 0.0; 1.0; 0.0; 0.0; 2.0; 0.0 μB per formula unit